No. 1
VASP calculation (PBE-GGA) on Ac2Cu2Pd15 after structural relaxation.

Results
DFT total energy = -5.305 eV/atom
N(E_F) = 20.6 states/eV/f.u.
Formation enthalpy at 0 K = -0.342 eV per atom

a b c (Å): 7.029 7.029 7.029
angles (deg): 82.14 82.14 82.14
Positions (direct):
Ac1 0.163 0.163 0.163
Ac2 0.837 0.837 0.837
Cu1 0.409 0.409 0.409
Cu2 0.591 0.591 0.591
Pd1 0.000 0.500 0.500
Pd2 0.155 0.155 0.653
Pd3 0.155 0.653 0.155
Pd4 0.204 0.500 0.796
Pd5 0.204 0.796 0.500
Pd6 0.347 0.845 0.845
Pd7 0.500 0.000 0.500
Pd8 0.500 0.204 0.796
Pd9 0.500 0.500 0.000
Pd10 0.500 0.796 0.204
Pd11 0.653 0.155 0.155
Pd12 0.796 0.204 0.500
Pd13 0.796 0.500 0.204
Pd14 0.845 0.347 0.845
Pd15 0.845 0.845 0.347



No. 2
VASP calculation (PBE-GGA) on DyEr2MgAu4 after structural relaxation.

Results
DFT total energy = -4.376 eV/atom
N(E_F) = 4.7 states/eV/f.u.
Formation enthalpy at 0 K = -0.822 eV per atom

a b c (Å): 8.654 8.654 8.654
angles (deg): 33.42 33.42 33.42
Positions (direct):
Dy1 0.000 0.000 0.000
Er1 0.245 0.245 0.245
Er2 0.755 0.755 0.755
Mg1 0.500 0.500 0.500
Au1 0.123 0.123 0.123
Au2 0.374 0.374 0.374
Au3 0.626 0.626 0.626
Au4 0.877 0.877 0.877